Record 1
VASP calculation (PBEsol) on As2OsN after structural relaxation.

Cell: 5.224 5.983 5.224 Å, 64.11 90.00 115.89°
Element x y z (fractional)
As 0.170 0.750 0.875
As 0.580 0.750 0.375
As 0.375 0.250 0.170
As 0.875 0.250 0.580
Os 0.750 0.500 0.750
Os 0.000 0.000 0.000
N 0.250 0.500 0.250
N 0.500 0.000 0.500

E = -56.86 eV/cell
DOS at the Fermi energy = 0.55 states/eV per atom
crystal system = tetragonal
total magnetic moment = 0.000 μB per formula unit

Record 2
VASP calculation (PBEsol) on AsOsSN2 after structural relaxation.

Cell: 3.769 3.769 5.023 Å, 90.00 90.00 90.00°
Element x y z (fractional)
As 0.500 0.500 0.500
Os 0.000 0.000 0.000
S 0.000 0.000 0.500
N 0.000 0.500 0.000
N 0.500 0.000 0.000

E = -35.08 eV/cell
DOS at the Fermi energy = 0.70 states/eV per atom
crystal system = tetragonal
total magnetic moment = 0.001 μB per formula unit

Record 3
VASP calculation (PBEsol) on AsOsSe2N after structural relaxation.

Cell: 3.651 4.997 4.997 Å, 90.00 90.00 90.00°
Element x y z (fractional)
As 0.500 0.500 0.500
Os 0.000 0.000 0.000
Se 0.000 0.000 0.500
Se 0.000 0.500 0.000
N 0.500 0.000 0.000

offset from the most stable computed form = 0.000 eV per atom
E = -31.14 eV/cell
DOS at the Fermi energy = 0.55 states/eV per atom
crystal system = tetragonal
total magnetic moment = 0.000 μB per formula unit

Record 4
VASP calculation (PBEsol) on AsOsSe2N after structural relaxation.

Cell: 4.217 4.158 4.158 Å, 90.00 90.00 90.00°
Element x y z (fractional)
As 0.500 0.000 0.000
Os 0.500 0.500 0.500
Se 0.000 0.000 0.500
Se 0.000 0.500 0.000
N 0.000 0.000 0.000

offset from the most stable computed form = 0.633 eV per atom
E = -27.97 eV/cell
DOS at the Fermi energy = 0.42 states/eV per atom
crystal system = tetragonal
total magnetic moment = 0.000 μB per formula unit

Record 5
VASP calculation (PBEsol) on SnAsOs2N after structural relaxation.

Cell: 3.848 4.927 4.927 Å, 90.00 90.00 90.00°
Element x y z (fractional)
As 0.500 0.500 0.500
Os 0.000 0.000 0.500
Os 0.000 0.500 0.000
Sn 0.000 0.000 0.000
N 0.500 0.000 0.000

E = -29.87 eV/cell
DOS at the Fermi energy = 1.11 states/eV per atom
crystal system = tetragonal
total magnetic moment = 0.002 μB per formula unit

Record 6
VASP calculation (PBEsol) on AsP2N after structural relaxation.

Cell: 4.487 4.487 6.737 Å, 109.45 109.45 90.00°
Element x y z (fractional)
P 0.492 0.875 0.250
P 0.758 0.375 0.250
P 0.125 0.242 0.750
P 0.625 0.508 0.750
As 0.250 0.750 0.500
As 0.000 0.000 0.000
N 0.750 0.250 0.500
N 0.500 0.500 0.000

E = -45.51 eV/cell
DOS at the Fermi energy = 0.40 states/eV per atom
crystal system = tetragonal
total magnetic moment = 0.000 μB per formula unit

Record 7
VASP calculation (PBEsol) on AsPN2 after structural relaxation.

Cell: 3.859 3.859 3.859 Å, 60.00 60.00 60.00°
Element x y z (fractional)
P 0.000 0.000 0.000
As 0.500 0.500 0.500
N 0.250 0.250 0.250
N 0.750 0.750 0.750

E = -21.83 eV/cell
DOS at the Fermi energy = 0.31 states/eV per atom
crystal system = cubic
total magnetic moment = 0.000 μB per formula unit

Record 8
VASP calculation (PBEsol) on AsPSN2 after structural relaxation.

Cell: 3.661 3.661 4.811 Å, 90.00 90.00 90.00°
Element x y z (fractional)
P 0.500 0.500 0.500
As 0.000 0.000 0.000
S 0.000 0.000 0.500
N 0.000 0.500 0.000
N 0.500 0.000 0.000

E = -25.71 eV/cell
DOS at the Fermi energy = 0.49 states/eV per atom
crystal system = tetragonal
total magnetic moment = 0.001 μB per formula unit

Record 9
VASP calculation (PBEsol) on AsPbN2 after structural relaxation.

Cell: 4.209 4.209 4.209 Å, 60.00 60.00 60.00°
Element x y z (fractional)
Pb 0.500 0.500 0.500
As 0.000 0.000 0.000
N 0.250 0.250 0.250
N 0.750 0.750 0.750

E = -20.43 eV/cell
DOS at the Fermi energy = 0.31 states/eV per atom
crystal system = cubic
total magnetic moment = 0.000 μB per formula unit

Record 10
VASP calculation (PBEsol) on As2PbN after structural relaxation.

Cell: 4.686 4.686 4.686 Å, 60.00 60.00 60.00°
Site moments in Bohr magnetons follow the coordinates.
Element x y z (fractional)
Pb 0.500 0.500 0.500  0.01
As 0.250 0.250 0.250  -0.04
As 0.750 0.750 0.750  -0.04
N 0.000 0.000 0.000  0.60

E = -17.47 eV/cell
DOS at the Fermi energy = 0.64 states/eV per atom
crystal system = cubic
total magnetic moment = 0.711 μB per formula unit

Record 11
VASP calculation (PBEsol) on YAsPb2N after structural relaxation.

Cell: 5.300 5.881 5.881 Å, 90.00 90.00 90.00°
Site moments in Bohr magnetons follow the coordinates.
Element x y z (fractional)
Pb 0.000 0.000 0.500  -0.01
Pb 0.000 0.500 0.000  -0.01
Y 0.000 0.000 0.000  0.05
As 0.500 0.000 0.000  0.06
N 0.500 0.500 0.500  1.77

E = -21.42 eV/cell
DOS at the Fermi energy = 0.75 states/eV per atom
crystal system = tetragonal
total magnetic moment = 2.773 μB per formula unit

Record 12
VASP calculation (PBEsol) on Te2AsPdN after structural relaxation.

Cell: 3.648 5.396 5.396 Å, 90.00 90.00 90.00°
Element x y z (fractional)
As 0.500 0.500 0.500
Te 0.000 0.000 0.500
Te 0.000 0.500 0.000
Pd 0.000 0.000 0.000
N 0.500 0.000 0.000

E = -23.37 eV/cell
DOS at the Fermi energy = 0.75 states/eV per atom
crystal system = tetragonal
total magnetic moment = 0.000 μB per formula unit